MnCrAsO6 | GGA+U | optimized geometry

Properties
electronic total energy = -62.3 eV/f.u.

Cell lengths 4.4914, 4.4914, 8.8665 Å; angles 90.00, 90.00, 90.00 degrees
Space group P4_2nm (No. 102)
Unique sites:
1 Mn 0.0000 0.0000 0.0000 x2
2 Cr 0.0000 0.0000 0.3309 x2
3 As 0.0000 0.0000 0.6646 x2
4 O 0.1859 0.1859 0.8261 x4
5 O 0.1930 0.1930 0.5070 x4
6 O 0.2028 0.2028 0.1613 x4